1.
{
  "formula": "CaPm2GaN4",
  "functional": "PBE",
  "state": "optimized geometry",
  "lattice": [[3.5116, 0.0000, 0.0000], [-1.7558, 5.9503, 0.0000], [0.0000, 0.0000, 12.1093]],
  "species": ["Ca", "Ca", "Pm", "Pm", "Pm", "Pm", "Ga", "Ga", "N", "N", "N", "N", "N", "N", "N", "N"],
  "frac_coords": [[0.1027, 0.2054, 0.7500], [0.8973, 0.7946, 0.2500], [0.3683, 0.7367, 0.5463], [0.6317, 0.2633, 0.0463], [0.6317, 0.2633, 0.4537], [0.3683, 0.7367, 0.9537], [0.8377, 0.6755, 0.7500], [0.1623, 0.3245, 0.2500], [0.2608, 0.5217, 0.1226], [0.7392, 0.4783, 0.6226], [0.7392, 0.4783, 0.8774], [0.2608, 0.5217, 0.3774], [0.0000, 0.0000, 0.5000], [0.0000, 0.0000, 0.0000], [0.4336, 0.8671, 0.7500], [0.5664, 0.1329, 0.2500]],
  "formation_energy_uncorrected_ev_per_atom": -0.8103,
  "e_tot_ev_per_cell": -108.6
}



2.
{
  "formula": "TcSe",
  "functional": "PBE",
  "state": "optimized geometry",
  "lattice": [[-2.9686, -0.1422, -4.6224], [-2.5964, -4.5571, -1.6406], [0.6776, 3.7908, 3.9205]],
  "species": ["Se", "Se", "Tc", "Tc"],
  "frac_coords": [[0.0147, 0.0147, 0.0000], [0.7353, 0.2353, 0.5000], [0.5190, 0.5190, 0.0000], [0.2310, 0.7310, 0.5000]],
  "formation_energy_uncorrected_ev_per_atom": 0.2831,
  "e_tot_ev_per_cell": -26.6
}